(1)
DFT (GGA-PBEsol) results for a geometry-optimized ScAl2Mo structure.

* space group: No. 216
* offset from the most stable computed form: 1.17 eV/f.u.
* ΔE_f: -0.008 eV per atom

Cell lengths 4.5117, 4.5117, 4.5117 Å; angles 60.00, 60.00, 60.00 degrees
Sites, in units of the cell vectors:
Sc: 0.0000 0.0000 0.0000
Al: 0.5000 0.5000 0.5000
Al: 0.7500 0.7500 0.7500
Mo: 0.2500 0.2500 0.2500



(2)
DFT (GGA-PBEsol) results for a geometry-optimized Sc2AlMo structure.

* space group: No. 216
* ΔE_f: -0.002 eV per atom

Cell lengths 4.6473, 4.6473, 4.6473 Å; angles 60.00, 60.00, 60.00 degrees
Sites, in units of the cell vectors:
Sc: 0.0000 0.0000 0.0000
Sc: 0.2500 0.2500 0.2500
Al: 0.7500 0.7500 0.7500
Mo: 0.5000 0.5000 0.5000